(1)
# In5Hg2Sb

A geometry-optimized In5Hg2Sb structure (GGA-PBE, the Alexandria database).

a b c (Å): 5.3308 9.2327 18.2025
angles (deg): 90.00 90.00 90.00
Closest atoms and distances in Å follow each position.
Space group Cmcm (No. 63)
Asymmetric unit:
1 In 0.0000 0.0771 0.1488  3 Hg 3.32-3.42, 7 In 3.35-3.68, 3 Sb 3.57-3.59
2 In 0.0000 0.2558 0.7500  3 Sb 3.07-3.09, 2 Hg 3.25
3 In 0.0000 0.4114 0.0759  4 Hg 3.05-3.14, 1 Sb 3.17, 4 In 3.21-3.36
4 Hg 0.0000 0.2489 0.5715  8 In 3.05-3.42
5 Sb 0.0000 0.4090 0.2500  5 In 3.07-3.17

Summary:
Formation energy from raw total energies = 0.24 eV/f.u.
Volume = 28.0 Å³ per atom
E = -2.27 eV/atom

---

(2)
# In2Hg6Sb

A geometry-optimized In2Hg6Sb structure (GGA-PBE, the Alexandria database).

a b c (Å): 3.3211 3.3211 25.3331
angles (deg): 90.00 90.00 120.00
Closest atoms and distances in Å follow each position.
Space group P-6m2 (No. 187)
Asymmetric unit:
1 In 0.0000 0.0000 0.1713  6 In 3.32, 6 Hg 3.41
2 Hg 0.0000 0.0000 0.3890  9 Hg 3.31-3.32, 3 Sb 3.40
3 Hg 0.3333 0.6667 0.0598  7 Hg 3.03-3.32
4 Hg 0.3333 0.6667 0.2826  9 Hg 3.31-3.32, 3 In 3.41
5 Sb 0.3333 0.6667 0.5000  6 Sb 3.32, 6 Hg 3.40

Summary:
Formation energy from raw total energies = 0.64 eV/f.u.
Volume = 26.9 Å³ per atom
E = -1.20 eV/atom

---

(3)
# InHgSb

A geometry-optimized InHgSb structure (GGA-PBE, the Alexandria database).

a b c (Å): 4.2174 5.0707 15.3479
angles (deg): 90.00 90.00 90.00
Closest atoms and distances in Å follow each position.
Space group Fmm2 (No. 42)
Asymmetric unit:
1 In 0.0000 0.0000 0.0000  4 Hg 3.27-3.56, 4 In 3.30, 4 Sb 3.31-3.60
2 Hg 0.0000 0.0000 0.3374  4 In 3.27-3.56, 4 Hg 3.30, 4 Sb 3.36-3.65
3 Sb 0.0000 0.0000 0.6666  4 Sb 3.30, 4 In 3.31-3.60, 4 Hg 3.36-3.65

Summary:
Formation energy from raw total energies = 0.24 eV/f.u.
Volume = 27.4 Å³ per atom
E = -2.31 eV/atom
Distance to the lowest polymorph of the same formula = 24.1 meV/atom

---

(4)
# In5Hg4Sb

A geometry-optimized In5Hg4Sb structure (GGA-PBE, the Alexandria database).

a b c (Å): 4.4945 6.8462 9.7279
angles (deg): 82.42 84.21 74.33
Closest atoms and distances in Å follow each position.
Space group P-1 (No. 2)
Asymmetric unit:
1 In 0.0000 0.0000 0.0000  6 Hg 3.04-3.11
2 In 0.1978 0.3974 0.2003  5 Hg 3.06-3.12, 1 Sb 3.08
3 In 0.3962 0.8036 0.4071  4 Hg 3.03-3.10, 2 Sb 3.07-3.08
4 Hg 0.1994 0.9015 0.7032  6 In 3.03-3.09
5 Hg 0.4070 0.2990 0.8957  6 In 3.06-3.12
6 Sb 0.0000 0.5000 0.5000  6 In 3.07-3.08

Summary:
Formation energy from raw total energies = 0.06 eV/f.u.
Volume = 28.5 Å³ per atom
E = -1.90 eV/atom

---

(5)
# InHgSb

A geometry-optimized InHgSb structure (GGA-PBE, the Alexandria database).

a b c (Å): 3.9034 3.9034 10.5515
angles (deg): 90.00 90.00 90.00
Closest atoms and distances in Å follow each position.
Space group I4mm (No. 107)
Asymmetric unit:
1 In 0.0000 0.0000 0.0000  5 Sb 3.25-3.56, 5 Hg 3.29-3.49
2 Hg 0.0000 0.0000 0.3308  5 Sb 3.28-3.50, 5 In 3.29-3.49
3 Sb 0.0000 0.0000 0.6628  5 In 3.25-3.56, 5 Hg 3.28-3.50

Summary:
Formation energy from raw total energies = 0.36 eV/f.u.
Volume = 26.8 Å³ per atom
E = -2.27 eV/atom
Distance to the lowest polymorph of the same formula = 62.8 meV/atom

---

(6)
# InHgSb3

A geometry-optimized InHgSb3 structure (GGA-PBE, the Alexandria database).

a b c (Å): 5.6307 5.6307 5.6307
angles (deg): 90.00 90.00 90.00
Closest atoms and distances in Å follow each position.
Space group Pm-3m (No. 221)
Asymmetric unit:
1 In 0.0000 0.0000 0.0000  12 Sb 3.98
2 Hg 0.5000 0.5000 0.5000  6 Sb 2.82
3 Sb 0.0000 0.5000 0.5000  2 Hg 2.82

Summary:
Formation energy from raw total energies = 3.40 eV/f.u.
Volume = 35.7 Å³ per atom
E = -2.40 eV/atom
Distance to the lowest polymorph of the same formula = 0.0 meV/atom

---

(7)
# In8Hg3Sb

A geometry-optimized In8Hg3Sb structure (GGA-PBE, the Alexandria database).

a b c (Å): 10.1819 9.9907 8.2176
angles (deg): 90.00 121.03 90.00
Closest atoms and distances in Å follow each position.
Space group Cm (No. 8)
Asymmetric unit:
1 In 0.0000 0.0000 0.0000  3 Hg 3.06-3.16, 1 Sb 3.09, 2 In 3.30
2 In 0.0031 0.2555 0.5132  3 Hg 3.02-3.13, 1 Sb 3.15, 1 In 3.30
3 In 0.2186 0.2443 0.0011  3 Hg 3.02-3.12, 1 Sb 3.15, 1 In 3.30
4 In 0.2221 0.5000 0.5152  3 Hg 3.06-3.16, 1 Sb 3.09, 2 In 3.30
5 In 0.2267 0.0000 0.5106  3 Hg 3.02-3.05, 1 Sb 3.20
6 In 0.4944 0.0000 0.0040  3 Hg 3.02-3.05, 1 Sb 3.20
7 Hg 0.3610 0.0000 0.2578  8 In 3.02-3.16
8 Hg 0.3609 0.2488 0.7573  8 In 3.02-3.13
9 Sb 0.3603 0.5000 0.2568  8 In 3.09-3.20

Summary:
Formation energy from raw total energies = 0.51 eV/f.u.
Volume = 29.8 Å³ per atom
E = -2.20 eV/atom

---

(8)
# In14HgSb

A geometry-optimized In14HgSb structure (GGA-PBE, the Alexandria database).

a b c (Å): 11.0818 6.9611 11.3227
angles (deg): 90.00 90.00 90.00
Closest atoms and distances in Å follow each position.
Space group Amm2 (No. 38)
Asymmetric unit:
1 In 0.0000 0.0000 0.0000  12 In 3.32-3.48
2 In 0.0000 0.0000 0.4945  12 In 3.28-3.48
3 In 0.0000 0.2487 0.7497  12 In 3.28-3.50
4 In 0.2434 0.0000 0.1729  11 In 3.31-3.48, 1 Hg 3.64
5 In 0.2495 0.0000 0.6672  11 In 3.29-3.48, 1 Sb 3.42
6 In 0.2554 0.2480 0.9210  1 Hg 3.27, 10 In 3.29-3.51, 1 Sb 3.33
7 In 0.5000 0.2344 0.1123  2 Sb 3.20-3.46, 7 In 3.26-3.47, 2 Hg 3.28-3.38
8 Hg 0.5000 0.0000 0.3734  10 In 3.27-3.64, 2 Sb 3.50
9 Sb 0.5000 0.0000 0.8430  10 In 3.20-3.46, 2 Hg 3.50

Summary:
Formation energy from raw total energies = 0.35 eV/f.u.
Volume = 27.3 Å³ per atom
E = -2.65 eV/atom